Computed, not measured: a geometry-optimized ZnNi2Br structure at the PBE level of DFT.

Geometry as extended XYZ:
```
4
Lattice="-0.637 -6.244 -0.568 2.881 -5.566 0.658 -0.827 -0.977 2.914" Properties=species:S:1:pos:R:3 pbc="T T T"
Ni 1.221 -10.627 2.370
Zn 0.514 -6.184 1.945
Br -0.319 -3.282 2.729
Ni 2.126 -11.875 0.465
```

Output
- ΔE_f (raw): 0.1352 eV/atom



Computed, not measured: a geometry-optimized Tl2AgHPt structure at the PBE level of DFT.

Geometry as extended XYZ:
```
5
Lattice="5.324 0.000 0.000 0.000 5.324 0.000 0.000 0.000 3.408" Properties=species:S:1:pos:R:3 pbc="T T T"
Tl 2.662 0.000 0.000
Tl 0.000 2.662 0.000
H 0.000 0.000 0.000
Ag 2.662 2.662 1.704
Pt 0.000 0.000 1.704
```



Computed, not measured: a geometry-optimized Li2AlCd structure at the PBE level of DFT.

Geometry as extended XYZ:
```
4
Lattice="2.815 0.000 0.000 0.000 4.409 0.000 0.000 0.000 5.794" Properties=species:S:1:pos:R:3 pbc="T T T"
Li 1.407 2.204 1.506
Li 0.000 0.000 5.766
Cd 1.407 2.204 4.391
Al 0.000 0.000 2.823
```

Output
- Energy relative to the elements: -0.116 eV per atom



Computed, not measured: a geometry-optimized Co2TcIr structure at the PBE level of DFT.

Geometry as extended XYZ:
```
4
Lattice="-1.187 4.289 -0.509 -2.161 2.955 -2.581 -4.143 -0.090 2.004" Properties=species:S:1:pos:R:3 pbc="T T T"
Ir -5.618 5.366 -0.815
Co -3.703 3.570 -0.559
Co -0.043 0.007 0.016
Tc -1.873 1.789 -0.272
```

Output
- Energy relative to the elements: 0.064 eV per atom



Computed, not measured: a geometry-optimized Dy2Er5Sb5 structure at the PBE level of DFT.

Geometry as extended XYZ:
```
12
Lattice="-1.964 2.533 2.888 -0.324 -6.880 2.591 11.033 4.881 3.223" Properties=species:S:1:pos:R:3 pbc="T T T"
Er 9.752 0.888 5.854
Sb 4.493 0.772 2.378
Sb 0.000 0.000 0.000
Dy 0.212 -2.804 5.827
Er 2.212 0.467 4.318
Sb 4.251 -0.238 6.324
Er 6.533 0.067 4.385
Sb 7.248 2.906 5.604
Sb 1.496 -2.372 3.098
Er -1.007 -0.354 2.848
Er 4.534 3.707 3.056
Dy 8.533 3.338 2.875
```

Output
- ΔE_f (raw): -0.8074 eV/atom



Computed, not measured: a geometry-optimized MgHgOs2 structure at the PBE level of DFT.

Geometry as extended XYZ:
```
4
Lattice="-3.133 0.620 3.540 -0.668 -0.349 4.707 1.289 4.769 1.239" Properties=species:S:1:pos:R:3 pbc="T T T"
Hg -1.240 2.615 4.787
Os -0.715 1.037 2.369
Mg -1.881 3.742 7.077
Os -3.733 0.437 8.242
```

Output
- Energy relative to the elements: 0.482 eV per atom



Computed, not measured: a geometry-optimized SrCa4Gd structure at the PBE level of DFT.

Geometry as extended XYZ:
```
6
Lattice="-5.308 4.473 -1.937 -6.714 -2.500 -0.781 -5.097 1.817 4.759" Properties=species:S:1:pos:R:3 pbc="T T T"
Ca -8.042 0.121 2.252
Ca -8.148 1.457 -1.118
Sr -4.280 0.948 0.510
Ca -7.334 3.630 1.670
Gd 0.000 0.000 0.000
Ca -10.713 2.372 1.277
```

Output
- Energy relative to the elements: 0.183 eV per atom



Computed, not measured: a geometry-optimized Sr3Tl4Pb2 structure at the PBE level of DFT.

Geometry as extended XYZ:
```
9
Lattice="5.373 0.000 0.000 -2.686 6.040 -0.352 0.000 -2.966 9.515" Properties=species:S:1:pos:R:3 pbc="T T T"
Tl 2.686 2.207 0.274
Sr 0.000 0.000 0.000
Tl 2.686 3.683 5.740
Pb 2.686 1.152 3.257
Sr 2.686 -0.293 6.461
Tl 0.000 -0.609 3.423
Pb 0.000 1.922 5.906
Sr 0.000 3.366 2.702
Tl 0.000 0.867 8.889
```

Output
- Energy relative to the elements: -0.340 eV per atom



no.,electronic total energy (eV for the cell shown)
1,-13.97
2,-16.30
3,-8.95
4,-33.18
5,-62.32
6,-22.43
7,-22.67
8,-24.99